Record 1
## RePbBr2 (meta-GGA SCAN)

Data for a crystal of RePbBr2 relaxed with PBEsol.

a b c (Å): 3.329 4.981 4.981
angles (deg): 90.00 90.00 90.00
Element x y z (fractional)
Pb: 0.500 0.500 0.500
Re: 0.500 0.000 0.000
Br: 0.000 0.000 0.500
Br: 0.000 0.500 0.000

Summary:
Calculated volume = 20.65 Å³ per atom
VASP energy = -45.2010 eV per atom
Energy relative to the lowest polymorph listed for this composition = 812 meV/atom
N(E_F) = 2.8 states/eV/cell


Record 2
## Re2PbSeBr (meta-GGA SCAN)

Data for a crystal of Re2PbSeBr relaxed with PBEsol.

a b c (Å): 4.566 4.566 6.110
angles (deg): 90.00 90.00 90.00
Element x y z (fractional)
Pb: 0.000 0.000 0.500
Re: 0.000 0.500 0.000
Re: 0.500 0.000 0.000
Se: 0.000 0.000 0.000
Br: 0.500 0.500 0.500

Summary:
Calculated volume = 25.48 Å³ per atom
VASP energy = -49.8843 eV per atom
N(E_F) = 3.0 states/eV/cell


Record 3
## RhPbBr2 (meta-GGA SCAN)

Data for a crystal of RhPbBr2 relaxed with PBEsol.

a b c (Å): 3.472 3.472 7.721
angles (deg): 90.00 90.00 90.00
Element x y z (fractional)
Pb: 0.000 0.000 0.522
Rh: 0.500 0.500 0.800
Br: 0.000 0.000 0.908
Br: 0.500 0.500 0.270

Summary:
Calculated volume = 23.26 Å³ per atom
VASP energy = -37.1161 eV per atom
Energy relative to the lowest polymorph listed for this composition = 315 meV/atom
N(E_F) = 1.9 states/eV/cell


Record 4
## RhPbBr2 (meta-GGA SCAN)

Data for a crystal of RhPbBr2 relaxed with PBEsol.

a b c (Å): 4.138 5.049 5.457
angles (deg): 117.54 90.00 90.00
Element x y z (fractional)
Pb: 0.000 0.426 0.853
Rh: 0.500 0.260 0.519
Br: 0.000 0.083 0.167
Br: 0.500 0.731 0.461

Summary:
Calculated volume = 25.27 Å³ per atom
VASP energy = -37.4306 eV per atom
Energy relative to the lowest polymorph listed for this composition = 0 meV/atom
N(E_F) = 1.7 states/eV/cell